[1]
A relaxed BaTa2Se7 crystal, computed with PBE.

```
BaTa2Se7
1.0
4.027 -6.642 0.000
4.027 6.642 0.000
0.000 0.000 5.036
Ba Ta Se
1 2 7
direct
0.000 0.000 0.000
0.302 0.698 0.500
0.698 0.302 0.500
0.054 0.320 0.500
0.292 0.708 0.000
0.320 0.054 0.500
0.500 0.500 0.500
0.680 0.946 0.500
0.708 0.292 0.000
0.946 0.680 0.500
```

Summary:
spin magnetization: 0.0 μB/cell
DOS(E_F): 6.11 states/eV/cell
crystal system: orthorhombic
energy relative to the elements, uncorrected: -714 meV per atom

=====

[2]
A relaxed Ho2Cd3Hg crystal, computed with PBE.

```
Ho2Cd3Hg
1.0
3.428 0.000 0.000
0.000 4.961 0.000
0.000 0.000 8.549
Ho Cd Hg
2 3 1
direct
0.000 0.000 0.000
0.000 0.500 0.489
0.500 0.000 0.665
0.500 0.500 0.158
0.500 0.500 0.825
0.500 0.000 0.329
```

Summary:
energy relative to the elements: -0.334 eV/atom
spin magnetization: 0.0 μB/cell
DOS(E_F): 4.25 states/eV/cell
crystal system: orthorhombic

=====

[3]
A relaxed InIr4Pt crystal, computed with PBE.

```
InIr4Pt
1.0
0.000 3.689 3.689
3.689 0.000 3.689
3.689 3.689 0.000
In Ir Pt
1 4 1
direct
0.000 0.000 0.000
0.375 0.375 0.375
0.375 0.375 0.875
0.375 0.875 0.375
0.875 0.375 0.375
0.750 0.750 0.750
```

Summary:
energy relative to the elements: 0.429 eV/atom
spin magnetization: 0.0 μB/cell
DOS(E_F): 12.29 states/eV/cell
crystal system: cubic

=====

[4]
A relaxed TaCu2Ir crystal, computed with PBE.

```
TaCu2Ir
1.0
3.274 0.000 0.000
0.000 3.274 0.000
0.000 0.000 5.325
Ta Cu Ir
1 2 1
direct
0.000 0.000 0.000
0.500 0.500 0.256
0.500 0.500 0.744
0.000 0.000 0.500
```

Summary:
energy relative to the elements: 0.101 eV/atom
spin magnetization: 0.0 μB/cell
DOS(E_F): 4.08 states/eV/cell
crystal system: tetragonal
ΔE to the lowest computed polymorph: 300 meV/atom

=====

[5]
A relaxed LiMg2CuO4 crystal, computed with PBE.

```
LiMg2CuO4
1.0
4.003 -4.021 0.000
4.003 4.021 0.000
-3.919 0.000 4.812
Li Mg Cu O
2 4 2 8
direct
0.000 0.000 0.000
0.000 0.000 0.500
0.000 0.500 0.000
0.500 0.000 0.500
0.500 0.500 0.000
0.500 0.500 0.500
0.000 0.500 0.500
0.500 0.000 0.000
0.200 0.699 0.429
0.253 0.286 0.544
0.286 0.253 0.044
0.301 0.800 0.071
0.699 0.200 0.929
0.714 0.747 0.956
0.747 0.714 0.456
0.800 0.301 0.571
```

Summary:
spin magnetization: 0.0 μB/cell
DOS(E_F): 0.98 states/eV/cell
crystal system: monoclinic
energy relative to the elements, uncorrected: -1848 meV per atom

=====

[6]
A relaxed BeCoTe2N crystal, computed with PBE.

```
BeCoTe2N
1.0
5.233 0.000 0.000
0.000 5.233 0.000
0.000 0.000 3.369
Be Co Te N
1 1 2 1
direct
0.000 0.000 0.000
0.500 0.500 0.500
0.000 0.500 0.500
0.500 0.000 0.500
0.500 0.500 0.000
```

Summary:
spin magnetization: 0.0 μB/cell
DOS(E_F): 2.83 states/eV/cell
crystal system: tetragonal
ΔE to the lowest computed polymorph: 0 meV/atom
energy relative to the elements, uncorrected: 567 meV per atom